Density functional theory data (GGA-PBEsol) for a geometry-optimized TePIrS2 structure.

Cell and atoms, written as POSCAR:
```
TePIrS2
1.0
4.7877 0.0000 0.0000
0.0000 4.7877 0.0000
0.0000 0.0000 5.0261
P S Te Ir
1 2 1 1
direct
0.0000 0.0000 0.5000
0.5000 0.0000 0.0000
0.0000 0.5000 0.0000
0.0000 0.0000 0.0000
0.5000 0.5000 0.5000
```

theoretical density = 6.0 g/cm3
size of the total moment = 0.41 μB/atom
VASP energy = -18.9 eV for the cell shown
space group = No. 123

***

Density functional theory data (GGA-PBEsol) for a geometry-optimized MnBi2TeC structure.

Cell and atoms, written as POSCAR:
```
MnBi2TeC
1.0
4.5594 0.0000 0.0000
0.0000 4.9956 0.0000
0.0000 0.0000 4.9956
Bi Mn C Te
2 1 1 1
direct
0.0000 0.5000 0.0000
0.0000 0.0000 0.5000
0.5000 0.5000 0.5000
0.0000 0.0000 0.0000
0.5000 0.0000 0.0000
```

theoretical density = 8.9 g/cm3
size of the total moment = 0.77 μB/atom
VASP energy = -25.7 eV for the cell shown
space group = No. 123